Record 1
Below is crystalline PrDy6Tl3 at its relaxed geometry, with properties calculated at the GGA-PBE level.

a b c (Å): 8.5978 8.5978 8.5486
angles (deg): 90.00 90.00 96.02
Closest atoms and distances in Å follow each position.
Sites, in units of the cell vectors:
Pr (0.1815, 0.8185, 0.5000)  2 Tl 3.35-3.50, 2 Dy 3.69
Pr (0.8185, 0.1815, 0.0000)  2 Tl 3.35-3.50, 2 Dy 3.69
Dy (0.0725, 0.4378, 0.6918)  3 Tl 3.27-3.32, 4 Dy 3.49-3.57
Dy (0.1077, 0.2351, 0.3376)  4 Tl 3.02-3.26, 1 Dy 3.34
Dy (0.2351, 0.1077, 0.8376)  4 Tl 3.02-3.26, 1 Dy 3.34
Dy (0.2674, 0.7326, 0.9208)  3 Tl 3.05-3.09, 2 Dy 3.34
Dy (0.4378, 0.0725, 0.1918)  3 Tl 3.27-3.32, 4 Dy 3.49-3.57
Dy (0.4643, 0.5357, 0.3093)  4 Tl 3.23-3.32, 1 Dy 3.56
Dy (0.5357, 0.4643, 0.8093)  4 Tl 3.23-3.32, 1 Dy 3.56
Dy (0.5622, 0.9275, 0.6918)  3 Tl 3.27-3.32, 4 Dy 3.49-3.57
Dy (0.7326, 0.2674, 0.4208)  3 Tl 3.05-3.09, 2 Dy 3.34
Dy (0.7649, 0.8923, 0.3376)  4 Tl 3.02-3.26, 1 Dy 3.34
Dy (0.8923, 0.7649, 0.8376)  4 Tl 3.02-3.26, 1 Dy 3.34
Dy (0.9275, 0.5622, 0.1918)  3 Tl 3.27-3.32, 4 Dy 3.49-3.57
Tl (0.0757, 0.9243, 0.1409)  7 Dy 3.09-3.27, 1 Pr 3.35
Tl (0.2249, 0.3965, 0.0399)  7 Dy 3.02-3.32
Tl (0.3965, 0.2249, 0.5399)  7 Dy 3.02-3.32
Tl (0.6035, 0.7751, 0.0399)  7 Dy 3.02-3.32
Tl (0.7751, 0.6035, 0.5399)  7 Dy 3.02-3.32
Tl (0.9243, 0.0757, 0.6409)  7 Dy 3.09-3.27, 1 Pr 3.35

Results
- Total magnetization: 0.00 μB per formula unit
- Density: 9.14 g cm⁻³
- Energy: -4.082 eV/atom
- Space-group type: Cmc2_1 (36)

***

Record 2
Below is crystalline PrDyTl at its relaxed geometry, with properties calculated at the GGA-PBE level.

a b c (Å): 5.2910 5.2910 5.2910
angles (deg): 60.00 60.00 60.00
Closest atoms and distances in Å follow each position.
Sites, in units of the cell vectors:
Pr (0.0000, 0.0000, 0.0000)  4 Tl 3.24
Dy (0.5000, 0.5000, 0.5000)  4 Tl 3.24
Tl (0.7500, 0.7500, 0.7500)  4 Pr 3.24, 4 Dy 3.24

Results
- Total magnetization: 0.52 μB per formula unit
- Density: 8.05 g cm⁻³
- Space-group type: F-43m (216)
- Energy relative to the lowest polymorph listed for this composition: 224 meV/atom

***

Record 3
Below is crystalline Pr3Dy2Tl2 at its relaxed geometry, with properties calculated at the GGA-PBE level.

a b c (Å): 5.5633 5.5633 8.7969
angles (deg): 108.54 108.54 60.09
Closest atoms and distances in Å follow each position.
Sites, in units of the cell vectors:
Pr (0.0000, 0.0000, 0.0000)  6 Tl 3.41
Pr (0.1569, 0.1569, 0.4707)  1 Tl 3.19, 3 Pr 3.25
Pr (0.8431, 0.8431, 0.5293)  1 Tl 3.19, 3 Pr 3.25
Dy (0.4259, 0.4259, 0.2784)  4 Tl 3.41-3.42, 6 Pr 3.58-3.82, 1 Dy 3.63
Dy (0.5741, 0.5741, 0.7216)  4 Tl 3.41-3.42, 6 Pr 3.58-3.82, 1 Dy 3.63
Tl (0.2871, 0.2871, 0.8608)  4 Pr 3.19-3.41, 4 Dy 3.41-3.42
Tl (0.7129, 0.7129, 0.1392)  4 Pr 3.19-3.41, 4 Dy 3.41-3.42

Results
- Total magnetization: 0.00 μB per formula unit
- Density: 8.75 g cm⁻³
- Space-group type: C2/m (12)
- Energy relative to the lowest polymorph listed for this composition: 0 meV/atom

***

Record 4
Below is crystalline PrDyTl at its relaxed geometry, with properties calculated at the GGA-PBE level.

a b c (Å): 7.3351 7.3351 7.3351
angles (deg): 150.89 150.89 41.63
Closest atoms and distances in Å follow each position.
Sites, in units of the cell vectors:
Pr (0.0000, 0.0000, 0.0000)  4 Tl 3.45, 4 Dy 3.68, 4 Pr 3.69
Dy (0.3108, 0.3108, 0.0000)  4 Tl 3.29, 4 Pr 3.68
Tl (0.6646, 0.6646, 0.0000)  4 Dy 3.29, 4 Pr 3.45

Results
- Total magnetization: 0.00 μB per formula unit
- Density: 9.05 g cm⁻³
- Space-group type: I4mm (107)
- Energy relative to the lowest polymorph listed for this composition: 41 meV/atom

***

Record 5
Below is crystalline Pr3Dy7Tl2 at its relaxed geometry, with properties calculated at the GGA-PBE level.

a b c (Å): 5.7361 3.6390 18.5298
angles (deg): 90.00 93.47 90.00
Closest atoms and distances in Å follow each position.
Sites, in units of the cell vectors:
Pr (0.0000, 0.0000, 0.0000)  10 Dy 3.40-3.70, 2 Pr 3.64
Pr (0.2751, 0.5000, 0.6354)  2 Pr 3.64, 4 Tl 3.65-3.66, 6 Dy 3.74-3.83
Pr (0.7249, 0.5000, 0.3646)  2 Pr 3.64, 4 Tl 3.65-3.66, 6 Dy 3.74-3.83
Dy (0.1763, 0.5000, 0.1504)  2 Tl 3.18, 5 Dy 3.41-3.44, 2 Pr 3.43
Dy (0.2415, 0.0000, 0.4590)  1 Tl 3.10, 2 Dy 3.24-3.25
Dy (0.3213, 0.0000, 0.8328)  8 Dy 3.41-3.68, 2 Tl 3.65-3.70, 1 Pr 3.70
Dy (0.5000, 0.5000, 0.0000)  4 Pr 3.40, 8 Dy 3.44-3.68
Dy (0.6787, 0.0000, 0.1672)  8 Dy 3.41-3.68, 2 Tl 3.65-3.70, 1 Pr 3.70
Dy (0.7585, 0.0000, 0.5410)  1 Tl 3.10, 2 Dy 3.24-3.25
Dy (0.8237, 0.5000, 0.8496)  2 Tl 3.18, 5 Dy 3.41-3.44, 2 Pr 3.43
Tl (0.2088, 0.0000, 0.2914)  3 Dy 3.10-3.18
Tl (0.7912, 0.0000, 0.7086)  3 Dy 3.10-3.18

Results
- Total magnetization: 0.00 μB per formula unit
- Density: 8.47 g cm⁻³
- Energy: -4.304 eV/atom
- Space-group type: P2/m (10)

***

Record 6
Below is crystalline PrDy6Tl2 at its relaxed geometry, with properties calculated at the GGA-PBE level.

a b c (Å): 6.6800 6.6800 12.0602
angles (deg): 107.03 107.03 32.73
Closest atoms and distances in Å follow each position.
Sites, in units of the cell vectors:
Pr (0.0000, 0.0000, 0.0000)  4 Tl 3.29
Dy (0.0107, 0.0107, 0.3479)  2 Tl 3.23, 6 Dy 3.50-3.61
Dy (0.3096, 0.3096, 0.4181)  2 Tl 3.29, 8 Dy 3.41-3.66
Dy (0.3115, 0.3115, 0.1267)  2 Tl 3.31, 5 Dy 3.52-3.61
Dy (0.6885, 0.6885, 0.8733)  2 Tl 3.31, 5 Dy 3.52-3.61
Dy (0.6904, 0.6904, 0.5819)  2 Tl 3.29, 8 Dy 3.41-3.66
Dy (0.9893, 0.9893, 0.6521)  2 Tl 3.23, 6 Dy 3.50-3.61
Tl (0.3583, 0.3583, 0.7820)  6 Dy 3.23-3.31, 2 Pr 3.29
Tl (0.6417, 0.6417, 0.2180)  6 Dy 3.23-3.31, 2 Pr 3.29

Results
- Total magnetization: 0.00 μB per formula unit
- Density: 9.14 g cm⁻³
- Space-group type: C2/m (12)
- Energy relative to the lowest polymorph listed for this composition: 0 meV/atom